Record 1
This record from Alexandria via LeMat-Bulk describes a geometry-optimized Ac3Sn2Ir2 structure. The functional is PBE.

Cell and atoms, written as CIF:
```
data_Ac3Sn2Ir2
_chemical_formula_sum 'Ac6 Sn4 Ir4'
_cell_length_a 4.594
_cell_length_b 4.746
_cell_length_c 19.360
_cell_angle_alpha 90.00
_cell_angle_beta 90.00
_cell_angle_gamma 90.00
_space_group_name_H-M_alt 'I m m m'
_space_group_IT_number 71
_space_group_name_Hall '-I 2 2'
loop_
_atom_site_label
_atom_site_type_symbol
_atom_site_fract_x
_atom_site_fract_y
_atom_site_fract_z
_atom_site_occupancy
Ac1 Ac 0.000 0.000 0.000 1
Ac2 Ac 0.000 0.500 0.174 1
Sn1 Sn 0.000 0.500 0.360 1
Ir1 Ir 0.000 0.000 0.434 1
```

## Properties
- uncorrected energy (eV per atom) = -6.05
- calculated density (Mg/m³) = 10.3
- calculated formation energy (eV/atom) = -0.62
- volume (Å³/atom) = 30.150
- magnetization (μB per cell) = 0.00

***

Record 2
This record from Alexandria via LeMat-Bulk describes a geometry-optimized TbCeSn2 structure. The functional is PBE.

Cell and atoms, written as CIF:
```
data_TbCeSn2
_chemical_formula_sum 'Tb1 Ce1 Sn2'
_cell_length_a 4.046
_cell_length_b 4.046
_cell_length_c 6.757
_cell_angle_alpha 90.00
_cell_angle_beta 90.00
_cell_angle_gamma 90.00
_space_group_name_H-M_alt 'P 4/m m m'
_space_group_IT_number 123
_space_group_name_Hall '-P 4 2'
loop_
_atom_site_label
_atom_site_type_symbol
_atom_site_fract_x
_atom_site_fract_y
_atom_site_fract_z
_atom_site_occupancy
Tb1 Tb 0.000 0.000 0.000 1
Ce1 Ce 0.000 0.000 0.500 1
Sn1 Sn 0.500 0.500 0.235 1
```

## Properties
- uncorrected energy (eV per atom) = -5.24
- calculated density (Mg/m³) = 8.1
- calculated formation energy (eV/atom) = -0.60
- volume (Å³/atom) = 27.652
- magnetization (μB per cell) = 1.48

***

Record 3
This record from Alexandria via LeMat-Bulk describes a geometry-optimized Tb2CO structure. The functional is PBE.

Cell and atoms, written as CIF:
```
data_Tb2CO
_chemical_formula_sum 'Tb6 C3 O3'
_cell_length_a 3.5007
_cell_length_b 3.5007
_cell_length_c 18.1312
_cell_angle_alpha 90.00
_cell_angle_beta 90.00
_cell_angle_gamma 120.00
_space_group_name_H-M_alt 'R 3 m'
_space_group_IT_number 160
_space_group_name_Hall 'R 3 -2"'
loop_
_atom_site_label
_atom_site_type_symbol
_atom_site_fract_x
_atom_site_fract_y
_atom_site_fract_z
_atom_site_occupancy
Tb1 Tb 0.0000 0.0000 0.0000 1
Tb2 Tb 0.0000 0.0000 0.1779 1
C1 C 0.0000 0.0000 0.5923 1
O1 O 0.0000 0.0000 0.7662 1
```

## Properties
- uncorrected energy (eV per atom) = -7.40
- calculated density (Mg/m³) = 9.0
- volume (Å³/atom) = 16.035
- magnetization (μB per cell) = 0.00
- raw formation energy (meV/atom) = -1540
- energy above the most stable polymorph in this dataset (meV/atom) = 160

***

Record 4
This record from Alexandria via LeMat-Bulk describes a geometry-optimized CeScTcPd structure. The functional is PBE.

Cell and atoms, written as CIF:
```
data_CeScTcPd
_chemical_formula_sum 'Ce4 Sc4 Tc4 Pd4'
_cell_length_a 6.780
_cell_length_b 6.780
_cell_length_c 6.780
_cell_angle_alpha 90.00
_cell_angle_beta 90.00
_cell_angle_gamma 90.00
_space_group_name_H-M_alt 'F -4 3 m'
_space_group_IT_number 216
_space_group_name_Hall 'F -4 2 3'
loop_
_atom_site_label
_atom_site_type_symbol
_atom_site_fract_x
_atom_site_fract_y
_atom_site_fract_z
_atom_site_occupancy
Ce1 Ce 0.000 0.000 0.000 1
Sc1 Sc 0.000 0.000 0.500 1
Tc1 Tc 0.250 0.250 0.250 1
Pd1 Pd 0.250 0.250 0.750 1
```

## Properties
- uncorrected energy (eV per atom) = -7.38
- calculated density (Mg/m³) = 8.3
- calculated formation energy (eV/atom) = -0.43
- volume (Å³/atom) = 19.479
- magnetization (μB per cell) = 0.00